A plane-wave DFT calculation with PBE was carried out for a relaxed KTlIn2 crystal.

```
KTlIn2
1.0
4.882 0.000 0.000
0.000 3.490 0.118
0.000 2.045 7.744
Tl In K
1 2 1
Direct
0.500 0.750 0.750
0.000 0.535 0.547
0.000 0.965 0.953
0.500 0.250 0.250
```

Values from the calculation:
Energy relative to the lowest polymorph listed for this composition (kJ/mol of formula units): 25.5
DFT formation energy (eV per atom): -0.04
Space group: P2/m
Magnetization (μB per cell): 0.00
N(E_F) (states/eV per atom): 0.4096
E_tot (eV/cell): -9.1